Record 1
Material: RbBa2SrIn
Method: DFT, PBE
State: optimized geometry

Unit cell a=6.9229 b=6.9229 c=6.6677 alpha=90.00 beta=90.00 gamma=90.00
With the nearest neighbours (Å) after each atom.
Sites, in units of the cell vectors:
Sr 0.0000 0.0000 0.5000  2 In 3.33
In 0.0000 0.0000 0.0000  2 Sr 3.33, 4 Ba 3.46
Ba 0.0000 0.5000 0.0000  2 In 3.46
Ba 0.5000 0.0000 0.0000  2 In 3.46
Rb 0.5000 0.5000 0.5000  8 Ba 4.81, 4 Sr 4.90

Values from the calculation:
Magnetic moment = 0.000 μB/f.u.
DFT formation energy = -0.044 eV per atom
ρ = 2.92 Mg/m³



Record 2
Material: TbBiAu2
Method: DFT, PBE
State: optimized geometry

Unit cell a=3.6279 b=3.6279 c=7.2921 alpha=90.00 beta=90.00 gamma=90.00
With the nearest neighbours (Å) after each atom.
Sites, in units of the cell vectors:
Tb 0.5000 0.5000 0.0000  8 Au 3.06
Au 0.0000 0.0000 0.7715  4 Tb 3.06, 4 Bi 3.24, 1 Au 3.33
Au 0.0000 0.0000 0.2285  4 Tb 3.06, 4 Bi 3.24, 1 Au 3.33
Bi 0.5000 0.5000 0.5000  8 Au 3.24, 4 Bi 3.63

Values from the calculation:
Magnetic moment = 0.000 μB/f.u.
DFT formation energy = -0.564 eV per atom
ρ = 13.18 Mg/m³